Mn3NiB: optimized geometry, PBE.

Lattice parameters (Å, degrees): 4.4433 4.4433 4.4433 90.00 90.00 90.00
Closest atoms and distances in Å follow each position.
Positions (direct):
Mn1 0.0000 0.0000 0.5000  2 Ni 2.22
Mn2 0.0000 0.5000 0.0000  2 Ni 2.22
Mn3 0.5000 0.0000 0.0000  2 Ni 2.22
Ni1 0.0000 0.0000 0.0000  6 Mn 2.22
B1 0.5000 0.5000 0.5000  12 Mn 3.14

Calculated values
Energy of formation from the pure elements (eV per atom): 1.521